[1]
An optimized crystal structure of PmAlPO2. Source: the Alexandria database, functional PBE-GGA.

The structure belongs to space group Cmcm (No. 63); the cell edges are 5.509, 11.818 and 5.221 Å and the angles 90.00°, 90.00° and 90.00°. Symmetry generates all atoms from Pm at (0.000, 0.120, 0.250), Al at (0.000, 0.479, 0.750), P at (0.000, 0.264, 0.750) and O at (0.231, 0.500, 0.000).

Its total magnetization is 0.000 μB per atom. The calculation puts the uncorrected formation energy at -2.13 eV/atom. Its uncorrected energy is -137.8 eV/cell. For the volume, the calculation gives 340 Å³ per cell.

=====

[2]
An optimized crystal structure of CePr2SiN4. Source: the Alexandria database, functional PBE-GGA.

The structure belongs to space group Cmcm (No. 63); the cell edges are 3.485, 11.767 and 12.260 Å and the angles 90.00°, 90.00° and 90.00°. Symmetry generates all atoms from Ce at (0.000, 0.093, 0.250), Pr at (0.000, 0.367, 0.044), Si at (0.000, 0.182, 0.750), N at (0.000, 0.000, 0.000), N at (0.000, 0.276, 0.640) and N at (0.000, 0.402, 0.250).

Its total magnetization is 0.124 μB per atom. The calculation puts the uncorrected formation energy at -1.06 eV/atom. Its uncorrected energy is -250.8 eV/cell. For the volume, the calculation gives 503 Å³ per cell.